TaAs2Ru | PBE | optimized geometry

Unit cell a=4.9064 b=4.9063 c=4.9063 alpha=131.72 beta=131.72 gamma=70.67
Closest atoms and distances in Å follow each position.
Sites, in units of the cell vectors:
Ru1 0.5000 0.5000 0.0000  4 Ta 2.83, 8 As 2.83-2.84
As1 0.0000 0.0000 0.0000  4 As 2.83, 4 Ta 2.83, 4 Ru 2.84
As2 0.2500 0.7500 0.5000  4 As 2.83, 4 Ru 2.83, 4 Ta 2.84
Ta1 0.7500 0.2500 0.5000  8 As 2.83-2.84, 4 Ru 2.83

Results
The volume comes out at 64.5 Å³/cell. As for the space group: I-4m2, No. 119. Its density of states at the Fermi level is 0.62 states/eV/atom. The formation energy comes out at 1.6 kJ/mol of atoms. The calculation puts the energy above the most stable polymorph in this dataset at 0.227 eV per atom. As for the theoretical density: 11.13 Mg/m³.